# PBE TlZnInO4, relaxed
data_TlZnInO4
_chemical_formula_sum 'Tl4 Zn4 In4 O16'
_symmetry_space_group_name_H-M 'I m m a'
_symmetry_Int_Tables_number 74
_symmetry_space_group_name_Hall '-I 2b 2'
_cell_length_a 6.495
_cell_length_b 6.496
_cell_length_c 9.213
_cell_angle_alpha 90.00
_cell_angle_beta 90.00
_cell_angle_gamma 90.00
loop_
_atom_site_label
_atom_site_fract_x
_atom_site_fract_y
_atom_site_fract_z
_atom_site_occupancy
Tl1 0.000 0.000 0.000 1
Zn1 0.000 0.250 0.376 1
In1 0.250 0.250 0.750 1
O1 0.000 0.015 0.750 1
O2 0.249 0.250 0.990 1
# * ρ: 7.67 g cm⁻³
# * N(E_F): 1.8 states/eV/f.u.
# * E: -4.906 eV/atom
# * E_form (uncorrected): -26.78 kcal/mol of atoms